(1)
# LaTlRe | the Alexandria database | PBE-GGA | relaxed
# calculated total energy: -6.0472 eV/atom
# energy relative to the lowest polymorph listed for this composition: 585 meV per atom
# ΔH_f (0 K): 1.60 eV per formula unit
data_LaTlRe
_chemical_formula_sum 'La1 Tl1 Re1'
_cell_length_a 3.4322
_cell_length_b 3.4754
_cell_length_c 6.5902
_cell_angle_alpha 105.02
_cell_angle_beta 104.65
_cell_angle_gamma 90.12
_symmetry_space_group_name_H-M 'P 1'
_symmetry_Int_Tables_number 1
loop_
_symmetry_equiv_pos_as_xyz
'x,y,z'
loop_
_atom_site_label
_atom_site_fract_x
_atom_site_fract_y
_atom_site_fract_z
La1 0.0000 0.0000 0.0000
Tl1 0.7158 0.7169 0.4393
Re1 0.3433 0.3453 0.6981

(2)
# LaB4Rh4 | the Alexandria database | PBE-GGA | relaxed
# calculated total energy: -7.3734 eV/atom
# energy relative to the lowest polymorph listed for this composition: 0 meV per atom
# ΔH_f (0 K): -5.32 eV per formula unit
data_LaB4Rh4
_chemical_formula_sum 'La2 B8 Rh8'
_cell_length_a 7.6276
_cell_length_b 7.6276
_cell_length_c 4.0210
_cell_angle_alpha 90.00
_cell_angle_beta 90.00
_cell_angle_gamma 90.00
_symmetry_space_group_name_H-M 'P 42/n'
_symmetry_Int_Tables_number 86
loop_
_symmetry_equiv_pos_as_xyz
'x,y,z'
'-x,-y,-z'
'-y,x+1/2,z+1/2'
'y,-x+1/2,-z+1/2'
'-x+1/2,-y+1/2,z'
'x+1/2,y+1/2,-z'
'y+1/2,-x,z+1/2'
'-y+1/2,x,-z+1/2'
loop_
_atom_site_label
_atom_site_fract_x
_atom_site_fract_y
_atom_site_fract_z
La1 0.2500 0.2500 0.2500
B1 0.0376 0.5883 0.1425
Rh1 0.0947 0.8615 0.1419

(3)
# Pm2H6Rh | the Alexandria database | PBE-GGA | relaxed
# calculated total energy: -4.4227 eV/atom
# energy relative to the lowest polymorph listed for this composition: 189 meV per atom
data_Pm2H6Rh
_chemical_formula_sum 'Pm4 H12 Rh2'
_cell_length_a 3.6352
_cell_length_b 4.8969
_cell_length_c 10.7588
_cell_angle_alpha 90.00
_cell_angle_beta 90.00
_cell_angle_gamma 90.00
_symmetry_space_group_name_H-M 'I m m m'
_symmetry_Int_Tables_number 71
_symmetry_space_group_name_Hall '-I 2 2'
loop_
_atom_site_label
_atom_site_fract_x
_atom_site_fract_y
_atom_site_fract_z
Pm1 0.0000 0.0000 0.1546
H1 0.0000 0.2176 0.3466
H2 0.0000 0.3368 0.0000
Rh1 0.0000 0.0000 0.5000